(1)
Crystalline HfAgP2Cl at its relaxed geometry, computed with PBE.

Output
- density (g/cm³) = 5.92
- formation energy (no corrections) (eV per atom) = 0.746
- volume (A^3/atom) = 21.5
- energy relative to the lowest polymorph listed for this composition (eV/atom) = 0.739
- DOS at the Fermi energy (states/eV per cell) = 2.63

a b c (Å): 4.791 4.791 4.690
angles (deg): 90.00 90.00 90.00
Atoms (fractional coordinates):
Hf  0.000  0.000  0.000
Ag  0.500  0.500  0.500
P  0.000  0.500  0.500
P  0.500  0.000  0.500
Cl  0.500  0.500  0.000


(2)
Crystalline LiPrTe at its relaxed geometry, computed with PBE.

Output
- density (g/cm³) = 6.21
- formation energy (no corrections) (eV per atom) = -0.967
- volume (A^3/atom) = 24.6
- energy relative to the lowest polymorph listed for this composition (eV/atom) = 0.061
- DOS at the Fermi energy (states/eV per cell) = 2.16

a b c (Å): 4.418 4.418 8.718
angles (deg): 90.00 90.00 120.00
Atoms (fractional coordinates):
Li  0.333  0.667  0.250
Li  0.667  0.333  0.750
Pr  0.000  0.000  0.000
Pr  0.000  0.000  0.500
Te  0.333  0.667  0.750
Te  0.667  0.333  0.250


(3)
Crystalline BeAlPb2 at its relaxed geometry, computed with PBE.

Output
- density (g/cm³) = 7.78
- volume (A^3/atom) = 24.0
- energy relative to the lowest polymorph listed for this composition (eV/atom) = 0.337
- DFT formation energy (eV/atom) = 0.651
- DOS at the Fermi energy (states/eV per cell) = 2.41

a b c (Å): 5.142 5.142 5.142
angles (deg): 60.00 60.00 60.00
Atoms (fractional coordinates):
Be  0.000  0.000  0.000
Al  0.250  0.250  0.250
Pb  0.500  0.500  0.500
Pb  0.750  0.750  0.750


(4)
Crystalline Zr2NiW at its relaxed geometry, computed with PBE.

Output
- density (g/cm³) = 9.90
- volume (A^3/atom) = 17.8
- energy relative to the lowest polymorph listed for this composition (eV/atom) = 0.048
- DFT formation energy (eV/atom) = -0.069
- DOS at the Fermi energy (states/eV per cell) = 2.18

a b c (Å): 4.655 4.655 4.655
angles (deg): 60.00 60.00 60.00
Atoms (fractional coordinates):
Zr  0.250  0.250  0.250
Zr  0.750  0.750  0.750
Ni  0.000  0.000  0.000
W  0.500  0.500  0.500


(5)
Crystalline Co3TcH at its relaxed geometry, computed with PBE.

Output
- density (g/cm³) = 9.60
- volume (A^3/atom) = 9.5
- energy relative to the lowest polymorph listed for this composition (eV/atom) = 0.055
- DOS at the Fermi energy (states/eV per cell) = 4.99

a b c (Å): 3.626 3.626 3.626
angles (deg): 90.00 90.00 90.00
Atoms (fractional coordinates):
Co  0.000  0.000  0.500
Co  0.000  0.500  0.000
Co  0.500  0.000  0.000
Tc  0.500  0.500  0.500
H  0.000  0.000  0.000


(6)
Crystalline InIrW2 at its relaxed geometry, computed with PBE.

Output
- density (g/cm³) = 16.78
- volume (A^3/atom) = 16.7
- DFT formation energy (eV/atom) = 0.232
- DOS at the Fermi energy (states/eV per cell) = 2.08

a b c (Å): 2.810 2.810 8.454
angles (deg): 90.00 90.00 90.00
Atoms (fractional coordinates):
In  0.000  0.000  0.000
Ir  0.000  0.000  0.500
W  0.500  0.500  0.269
W  0.500  0.500  0.731


(7)
Crystalline Ca2ZrPb at its relaxed geometry, computed with PBE.

Output
- density (g/cm³) = 5.29
- volume (A^3/atom) = 29.7
- DFT formation energy (eV/atom) = 0.004
- DOS at the Fermi energy (states/eV per cell) = 4.25

a b c (Å): 6.614 6.614 6.008
angles (deg): 115.89 115.89 30.47
Atoms (fractional coordinates):
Ca  0.000  0.000  0.000
Ca  0.220  0.220  0.596
Zr  0.769  0.769  0.142
Pb  0.480  0.480  0.506


(8)
Crystalline Ba2HIrO6 at its relaxed geometry, computed with PBE.

Output
- density (g/cm³) = 6.17
- total DFT energy (no corrections) (eV per atom) = -6.1867
- volume (A^3/atom) = 15.2
- DOS at the Fermi energy (states/eV per cell) = 1.69

a b c (Å): 6.124 6.124 5.534
angles (deg): 116.06 116.06 98.52
Atoms (fractional coordinates):
Ba  0.236  0.764  0.000
Ba  0.764  0.236  0.000
H  0.799  0.799  0.413
Ir  0.500  0.500  0.500
O  0.239  0.239  0.425
O  0.295  0.717  0.502
O  0.384  0.384  0.075
O  0.717  0.295  0.502
O  0.718  0.718  0.956
O  0.817  0.817  0.606


(9)
Crystalline Rb2In2Hg at its relaxed geometry, computed with PBE.

Output
- density (g/cm³) = 5.10
- volume (A^3/atom) = 39.2
- energy relative to the lowest polymorph listed for this composition (eV/atom) = 0.030
- DFT formation energy (eV/atom) = -0.038
- DOS at the Fermi energy (states/eV per cell) = 4.14

a b c (Å): 7.969 7.969 6.168
angles (deg): 90.00 90.00 90.00
Atoms (fractional coordinates):
Rb  0.182  0.318  0.000
Rb  0.318  0.818  0.000
Rb  0.682  0.182  0.000
Rb  0.818  0.682  0.000
In  0.130  0.630  0.500
In  0.370  0.130  0.500
In  0.630  0.870  0.500
In  0.870  0.370  0.500
Hg  0.000  0.000  0.500
Hg  0.500  0.500  0.500


(10)
Crystalline Ac3Nd7Er2 at its relaxed geometry, computed with PBE.

Output
- density (g/cm³) = 7.23
- volume (A^3/atom) = 38.8
- DFT formation energy (eV/atom) = 0.217
- DOS at the Fermi energy (states/eV per cell) = 18.34

a b c (Å): 3.791 5.851 21.059
angles (deg): 90.02 95.15 90.00
Atoms (fractional coordinates):
Ac  0.000  0.000  0.000
Ac  0.325  0.500  0.650
Ac  0.675  0.500  0.350
Nd  0.088  0.500  0.176
Nd  0.218  0.000  0.436
Nd  0.429  0.000  0.858
Nd  0.500  0.500  0.000
Nd  0.571  0.000  0.142
Nd  0.782  0.000  0.564
Nd  0.912  0.500  0.824
Er  0.139  0.000  0.279
Er  0.861  0.000  0.721